The following is a DFT calculation (PBE) of a relaxed structure of Ca3HfAl.

The calculation puts the distance to the lowest polymorph of the same formula at 0 meV/atom. As for the energy relative to the elements: 763 meV per atom. Its density of states at the Fermi level is 2.83 states/eV per cell. The energy is -3.177 eV/atom.

The space group is Pm-3m (No. 221) and the conventional cell measures 5.721, 5.721 and 5.721 Å, with angles of 90.00, 90.00 and 90.00 degrees. Symmetry generates all atoms from Ca at (0.000, 0.000, 0.500), Hf at (0.500, 0.500, 0.500) and Al at (0.000, 0.000, 0.000).

The following is a DFT calculation (PBE) of a relaxed structure of NaBe2Au2.

The calculation puts the distance to the lowest polymorph of the same formula at 33 meV/atom. As for the energy relative to the elements: -116 meV per atom. Its density of states at the Fermi level is 2.50 states/eV per cell. The energy is -3.182 eV/atom.

The space group is I4/mmm (No. 139) and the conventional cell measures 3.735, 3.735 and 11.652 Å, with angles of 90.00, 90.00 and 90.00 degrees. Symmetry generates all atoms from Na at (0.000, 0.000, 0.000), Be at (0.000, 0.500, 0.250) and Au at (0.000, 0.000, 0.374).

The following is a DFT calculation (PBE) of a relaxed structure of PmY2I.

For the uncorrected formation energy, the calculation gives -27 kJ per mole of atoms. The calculation puts the distance to the lowest polymorph of the same formula at 59 meV/atom. Its density of states at the Fermi level is 5.28 states/eV per cell. The energy is -5.086 eV/atom.

The space group is P4/mmm (No. 123) and the conventional cell measures 3.684, 3.684 and 9.553 Å, with angles of 90.00, 90.00 and 90.00 degrees. Symmetry generates all atoms from Pm at (0.000, 0.000, 0.000), Y at (0.500, 0.500, 0.258) and I at (0.000, 0.000, 0.500).

The following is a DFT calculation (PBE) of a relaxed structure of Al2GeIrC.

As for the energy relative to the elements: 1981 meV per atom. Its density of states at the Fermi level is 3.38 states/eV per cell. The energy is -4.056 eV/atom.

The space group is P4/mmm (No. 123) and the conventional cell measures 4.748, 4.748 and 4.554 Å, with angles of 90.00, 90.00 and 90.00 degrees. Symmetry generates all atoms from Al at (0.000, 0.500, 0.000), Ge at (0.000, 0.000, 0.000), Ir at (0.000, 0.000, 0.500) and C at (0.500, 0.500, 0.500).